# SnGeBr2F PBE relaxed
# * final energy: -3.466 eV/atom
# * E_form (uncorrected): -0.699 eV/atom
data_SnGeBr2F
_chemical_formula_sum 'Sn1 Ge1 Br2 F1'
_cell_length_a 5.698
_cell_length_b 5.698
_cell_length_c 4.137
_cell_angle_alpha 90.00
_cell_angle_beta 90.00
_cell_angle_gamma 90.00
_symmetry_space_group_name_H-M 'P 4/m m m'
_symmetry_Int_Tables_number 123
_symmetry_space_group_name_Hall '-P 4 2'
loop_
_atom_site_label
_atom_site_type_symbol
_atom_site_fract_x
_atom_site_fract_y
_atom_site_fract_z
Sn1 Sn 0.000 0.000 0.000
Ge1 Ge 0.500 0.500 0.500
Br1 Br 0.000 0.500 0.500
F1 F 0.500 0.500 0.000